1.
TlPt3W after structural relaxation, computed with PBE.

Summary:
- ΔE_f (kcal/mol of atoms) = 20.0

Unit cell a=4.927 b=4.927 c=4.927 alpha=90.00 beta=90.00 gamma=90.00
Atoms (fractional coordinates):
Tl1 0.000 0.000 0.000
Pt1 0.000 0.500 0.500
Pt2 0.500 0.000 0.500
Pt3 0.500 0.500 0.000
W1 0.500 0.500 0.500


2.
Zn2FeCl after structural relaxation, computed with PBE.

Summary:
- E_form (uncorrected) (eV/atom) = 0.37

Unit cell a=3.787 b=3.787 c=9.254 alpha=90.00 beta=90.00 gamma=90.00
Atoms (fractional coordinates):
Zn1 0.000 0.000 0.000
Zn2 0.000 0.500 0.250
Zn3 0.500 0.000 0.750
Zn4 0.500 0.500 0.500
Fe1 0.000 0.000 0.500
Fe2 0.500 0.500 0.000
Cl1 0.000 0.500 0.750
Cl2 0.500 0.000 0.250


3.
MgTl2Au after structural relaxation, computed with PBE.

Summary:
- ΔE_f (kcal/mol of atoms) = 0.2

Unit cell a=8.389 b=8.389 c=6.034 alpha=90.00 beta=90.00 gamma=90.00
Atoms (fractional coordinates):
Mg1 0.000 0.000 0.000
Mg2 0.000 0.500 0.250
Mg3 0.500 0.000 0.750
Mg4 0.500 0.500 0.500
Tl1 0.222 0.250 0.625
Tl2 0.250 0.722 0.875
Tl3 0.250 0.778 0.375
Tl4 0.278 0.250 0.125
Tl5 0.722 0.750 0.125
Tl6 0.750 0.222 0.375
Tl7 0.750 0.278 0.875
Tl8 0.778 0.750 0.625
Au1 0.000 0.000 0.500
Au2 0.000 0.500 0.750
Au3 0.500 0.000 0.250
Au4 0.500 0.500 0.000


4.
Tb3Pm4Sm after structural relaxation, computed with PBE.

Summary:
- ΔE_f (kcal/mol of atoms) = 0.6

Unit cell a=11.623 b=7.334 c=6.335 alpha=90.00 beta=90.00 gamma=90.00
Atoms (fractional coordinates):
Tb1 0.000 0.123 0.000
Tb2 0.250 0.123 0.333
Tb3 0.250 0.877 0.833
Tb4 0.500 0.877 0.500
Tb5 0.750 0.123 0.333
Tb6 0.750 0.877 0.833
Pm1 0.000 0.373 0.499
Pm2 0.000 0.627 0.001
Pm3 0.249 0.374 0.833
Pm4 0.251 0.626 0.333
Pm5 0.500 0.373 0.501
Pm6 0.500 0.627 0.999
Pm7 0.749 0.626 0.333
Pm8 0.751 0.374 0.833
Sm1 0.000 0.876 0.500
Sm2 0.500 0.124 0.000


5.
Y4HgBiC after structural relaxation, computed with PBE.

Summary:
- ΔE_f (kcal/mol of atoms) = -12.8

Unit cell a=8.567 b=8.567 c=6.849 alpha=90.00 beta=90.00 gamma=132.77
Atoms (fractional coordinates):
Y1 0.000 0.500 0.000
Y2 0.000 0.500 0.500
Y3 0.084 0.916 0.750
Y4 0.406 0.594 0.750
Y5 0.500 0.000 0.000
Y6 0.500 0.000 0.500
Y7 0.594 0.406 0.250
Y8 0.916 0.084 0.250
Hg1 0.115 0.885 0.250
Hg2 0.885 0.115 0.750
Bi1 0.392 0.608 0.250
Bi2 0.608 0.392 0.750
C1 0.249 0.751 0.750
C2 0.751 0.249 0.250


6.
Pr2SmI after structural relaxation, computed with PBE.

Summary:
- E_form (uncorrected) (eV/atom) = -0.39

Unit cell a=3.864 b=3.864 c=32.696 alpha=90.00 beta=90.00 gamma=120.00
Atoms (fractional coordinates):
Pr1 0.000 0.000 0.000
Pr2 0.000 0.000 0.177
Pr3 0.333 0.667 0.667
Pr4 0.333 0.667 0.843
Pr5 0.667 0.333 0.333
Pr6 0.667 0.333 0.510
Sm1 0.000 0.000 0.421
Sm2 0.333 0.667 0.088
Sm3 0.667 0.333 0.755
I1 0.000 0.000 0.588
I2 0.333 0.667 0.255
I3 0.667 0.333 0.921


7.
CeDy2Hf after structural relaxation, computed with PBE.

Summary:
- ΔE_f (kcal/mol of atoms) = 3.2

Unit cell a=3.342 b=3.342 c=10.153 alpha=90.00 beta=90.00 gamma=90.00
Atoms (fractional coordinates):
Ce1 0.000 0.000 0.000
Dy1 0.500 0.500 0.271
Dy2 0.500 0.500 0.729
Hf1 0.000 0.000 0.500


8.
Tb3PmSm2Er6 after structural relaxation, computed with PBE.

Summary:
- ΔE_f (kcal/mol of atoms) = 0.4

Unit cell a=6.156 b=6.156 c=11.719 alpha=95.01 beta=95.01 gamma=119.96
Atoms (fractional coordinates):
Tb1 0.000 0.000 0.000
Tb2 0.333 0.667 0.000
Tb3 0.667 0.333 0.000
Pm1 0.500 0.500 0.500
Sm1 0.167 0.833 0.500
Sm2 0.833 0.167 0.500
Er1 0.082 0.415 0.248
Er2 0.251 0.251 0.752
Er3 0.415 0.082 0.248
Er4 0.585 0.918 0.752
Er5 0.749 0.749 0.248
Er6 0.918 0.585 0.752


9.
Sr2BePb after structural relaxation, computed with PBE.

Summary:
- ΔE_f (kcal/mol of atoms) = 4.1

Unit cell a=3.759 b=3.759 c=9.352 alpha=90.00 beta=90.00 gamma=90.00
Atoms (fractional coordinates):
Sr1 0.000 0.000 0.000
Sr2 0.500 0.500 0.382
Be1 0.000 0.000 0.602
Pb1 0.500 0.500 0.742


Number 1: D(E_F) 0.95 states/eV/atom, total magnetic moment 0.00 Bohr magnetons per cell. Number 2: D(E_F) 0.75 states/eV/atom, total magnetic moment 5.71 Bohr magnetons per cell. Number 3: D(E_F) 0.41 states/eV/atom, total magnetic moment 0.00 Bohr magnetons per cell. Number 4: D(E_F) 1.77 states/eV/atom, total magnetic moment 0.00 Bohr magnetons per cell. Number 5: D(E_F) 0.65 states/eV/atom, total magnetic moment 0.00 Bohr magnetons per cell. Number 6: D(E_F) 1.38 states/eV/atom, total magnetic moment 2.06 Bohr magnetons per cell. Number 7: D(E_F) 2.01 states/eV/atom, total magnetic moment 1.03 Bohr magnetons per cell. Number 8: D(E_F) 1.25 states/eV/atom, total magnetic moment 0.00 Bohr magnetons per cell. Number 9: D(E_F) 0.80 states/eV/atom, total magnetic moment 0.00 Bohr magnetons per cell.